DySc3 after structural relaxation, computed with PBE.

Cell lengths 5.294, 5.294, 5.294 Å; angles 60.00, 60.00, 60.00 degrees
Sites, in units of the cell vectors:
1 Sc 0.250 0.250 0.250
2 Sc 0.000 0.000 0.000
3 Sc 0.750 0.750 0.750
4 Dy 0.500 0.500 0.500

Computed properties:
Formation energy (meV/atom): 112.5
Theoretical density (g/cm3): 4.71
E above lowest polymorph (eV/f.u.): 0.36